{
  "formula": "Dy3Mg6Sc2",
  "functional": "PBE",
  "state": "optimized geometry",
  "ef_ev_per_atom": 0.163,
  "sg": "I4/mmm",
  "dos_ef_per_ev_atom": 1.23,
  "lattice_angstrom": [[-2.209, 2.209, 15.310], [2.209, -2.209, 15.310], [2.209, 2.209, -15.310]],
  "species": ["Dy", "Dy", "Dy", "Mg", "Mg", "Mg", "Mg", "Mg", "Mg", "Sc", "Sc"],
  "fractional_positions": [[0.000, 0.000, 0.000], [0.212, 0.212, 0.000], [0.788, 0.788, 0.000], [0.116, 0.616, 0.500], [0.318, 0.318, 0.000], [0.384, 0.884, 0.500], [0.616, 0.116, 0.500], [0.682, 0.682, 0.000], [0.884, 0.384, 0.500], [0.453, 0.453, 0.000], [0.547, 0.547, 0.000]]
}



{
  "formula": "Tl2CoIr",
  "functional": "PBE",
  "state": "optimized geometry",
  "ef_ev_per_atom": 0.587,
  "e_above_lowest_polymorph_mev_per_atom": 174.9,
  "sg": "R3m",
  "dos_ef_per_ev_atom": 0.84,
  "lattice_angstrom": [[1.550, 0.895, 9.362], [-1.550, 0.895, 9.362], [0.000, -1.790, 9.362]],
  "species": ["Tl", "Tl", "Co", "Ir"],
  "fractional_positions": [[0.000, 0.000, 0.000], [0.229, 0.229, 0.229], [0.747, 0.747, 0.747], [0.477, 0.477, 0.477]]
}



{
  "formula": "K4Hg4Pt",
  "functional": "PBE",
  "state": "optimized geometry",
  "ef_ev_per_atom": -0.222,
  "sg": "P4_2/nmc",
  "dos_ef_per_ev_atom": 0.44,
  "lattice_angstrom": [[9.966, 0.000, 0.000], [0.000, 9.966, 0.000], [0.000, 0.000, 6.741]],
  "species": ["K", "K", "K", "K", "K", "K", "K", "K", "Hg", "Hg", "Hg", "Hg", "Hg", "Hg", "Hg", "Hg", "Pt", "Pt"],
  "fractional_positions": [[0.047, 0.250, 0.066], [0.250, 0.047, 0.566], [0.250, 0.453, 0.566], [0.453, 0.250, 0.066], [0.547, 0.750, 0.934], [0.750, 0.547, 0.434], [0.750, 0.953, 0.434], [0.953, 0.750, 0.934], [0.066, 0.750, 0.434], [0.250, 0.566, 0.066], [0.250, 0.934, 0.066], [0.434, 0.750, 0.434], [0.566, 0.250, 0.566], [0.750, 0.066, 0.934], [0.750, 0.434, 0.934], [0.934, 0.250, 0.566], [0.250, 0.750, 0.750], [0.750, 0.250, 0.250]]
}



{
  "formula": "Ce6MnCoPb2",
  "functional": "PBE",
  "state": "optimized geometry",
  "ef_ev_per_atom": -0.267,
  "sg": "I4/mmm",
  "dos_ef_per_ev_atom": 2.57,
  "lattice_angstrom": [[-3.595, 3.595, 5.206], [3.595, -3.595, 5.206], [3.595, 3.595, -5.206]],
  "species": ["Ce", "Ce", "Ce", "Ce", "Ce", "Ce", "Mn", "Co", "Pb", "Pb"],
  "fractional_positions": [[0.235, 0.235, 0.000], [0.261, 0.261, 0.522], [0.261, 0.739, 0.000], [0.739, 0.261, 0.000], [0.739, 0.739, 0.478], [0.765, 0.765, 0.000], [0.500, 0.500, 0.000], [0.000, 0.000, 0.000], [0.250, 0.750, 0.500], [0.750, 0.250, 0.500]]
}



{
  "formula": "Tb3Tm3Pt2",
  "functional": "PBE",
  "state": "optimized geometry",
  "ef_ev_per_atom": -0.614,
  "sg": "Cmcm",
  "dos_ef_per_ev_atom": 1.34,
  "lattice_angstrom": [[1.900, -6.529, 0.000], [1.900, 6.529, 0.000], [0.000, 0.000, 17.812]],
  "species": ["Tb", "Tb", "Tb", "Tb", "Tb", "Tb", "Tm", "Tm", "Tm", "Tm", "Tm", "Tm", "Pt", "Pt", "Pt", "Pt"],
  "fractional_positions": [[0.054, 0.946, 0.593], [0.054, 0.946, 0.907], [0.310, 0.690, 0.750], [0.690, 0.310, 0.250], [0.946, 0.054, 0.093], [0.946, 0.054, 0.407], [0.335, 0.665, 0.551], [0.335, 0.665, 0.949], [0.419, 0.581, 0.250], [0.581, 0.419, 0.750], [0.665, 0.335, 0.051], [0.665, 0.335, 0.449], [0.279, 0.721, 0.131], [0.279, 0.721, 0.369], [0.721, 0.279, 0.631], [0.721, 0.279, 0.869]]
}



{
  "formula": "AlVInCl6",
  "functional": "PBE",
  "state": "optimized geometry",
  "sg": "P-31c",
  "formation_energy_uncorrected_ev_per_atom": -1.2362,
  "lattice_angstrom": [[6.313, 0.000, 0.000], [-3.157, 5.468, 0.000], [0.000, 0.000, 14.281]],
  "species": ["Al", "Al", "V", "V", "In", "In", "Cl", "Cl", "Cl", "Cl", "Cl", "Cl", "Cl", "Cl", "Cl", "Cl", "Cl", "Cl"],
  "fractional_positions": [[0.333, 0.667, 0.250], [0.667, 0.333, 0.750], [0.333, 0.667, 0.750], [0.667, 0.333, 0.250], [0.000, 0.000, 0.000], [0.000, 0.000, 0.500], [0.015, 0.376, 0.155], [0.015, 0.638, 0.345], [0.362, 0.376, 0.345], [0.362, 0.985, 0.155], [0.376, 0.015, 0.655], [0.376, 0.362, 0.845], [0.624, 0.638, 0.155], [0.624, 0.985, 0.345], [0.638, 0.015, 0.845], [0.638, 0.624, 0.655], [0.985, 0.362, 0.655], [0.985, 0.624, 0.845]]
}



{
  "formula": "Li2PdPb2",
  "functional": "PBE",
  "state": "optimized geometry",
  "ef_ev_per_atom": -0.197,
  "sg": "P4/mbm",
  "dos_ef_per_ev_atom": 0.48,
  "lattice_angstrom": [[7.315, 0.000, 0.000], [0.000, 7.315, 0.000], [0.000, 0.000, 3.988]],
  "species": ["Li", "Li", "Li", "Li", "Pd", "Pd", "Pb", "Pb", "Pb", "Pb"],
  "fractional_positions": [[0.154, 0.346, 0.000], [0.346, 0.846, 0.000], [0.654, 0.154, 0.000], [0.846, 0.654, 0.000], [0.000, 0.000, 0.500], [0.500, 0.500, 0.500], [0.152, 0.652, 0.500], [0.348, 0.152, 0.500], [0.652, 0.848, 0.500], [0.848, 0.348, 0.500]]
}



{
  "formula": "Sc3Cd2Ga2Au4",
  "functional": "PBE",
  "state": "optimized geometry",
  "ef_ev_per_atom": -0.578,
  "sg": "P-3m1",
  "dos_ef_per_ev_atom": 0.48,
  "lattice_angstrom": [[4.459, 0.000, 0.000], [-2.230, 3.862, 0.000], [0.000, 0.000, 13.077]],
  "species": ["Sc", "Sc", "Sc", "Cd", "Cd", "Ga", "Ga", "Au", "Au", "Au", "Au"],
  "fractional_positions": [[0.000, 0.000, 0.000], [0.000, 0.000, 0.252], [0.000, 0.000, 0.748], [0.333, 0.667, 0.565], [0.667, 0.333, 0.435], [0.333, 0.667, 0.131], [0.667, 0.333, 0.869], [0.333, 0.667, 0.341], [0.333, 0.667, 0.887], [0.667, 0.333, 0.113], [0.667, 0.333, 0.659]]
}



{
  "formula": "YZn2Ir",
  "functional": "PBE",
  "state": "optimized geometry",
  "ef_ev_per_atom": -0.422,
  "sg": "Cm",
  "dos_ef_per_ev_atom": 0.69,
  "lattice_angstrom": [[3.799, -2.192, 0.000], [3.799, 2.192, 0.000], [-2.541, 0.000, 4.688]],
  "species": ["Y", "Zn", "Zn", "Ir"],
  "fractional_positions": [[0.000, 0.000, 0.000], [0.534, 0.534, 0.601], [0.796, 0.796, 0.387], [0.205, 0.205, 0.614]]
}



{
  "formula": "Sr2TlSiRh",
  "functional": "PBE",
  "state": "optimized geometry",
  "sg": "P4/mmm",
  "formation_energy_uncorrected_ev_per_atom": -0.3213,
  "dos_ef_per_ev_atom": 0.93,
  "lattice_angstrom": [[5.822, 0.000, 0.000], [0.000, 5.822, 0.000], [0.000, 0.000, 4.611]],
  "species": ["Sr", "Sr", "Tl", "Si", "Rh"],
  "fractional_positions": [[0.000, 0.500, 0.000], [0.500, 0.000, 0.000], [0.000, 0.000, 0.500], [0.500, 0.500, 0.500], [0.500, 0.500, 0.000]]
}



{
  "formula": "Li2RePt",
  "functional": "PBE",
  "state": "optimized geometry",
  "ef_ev_per_atom": -0.038,
  "e_above_lowest_polymorph_mev_per_atom": 90.5,
  "sg": "P4/mmm",
  "dos_ef_per_ev_atom": 0.55,
  "lattice_angstrom": [[2.594, 0.000, 0.000], [0.000, 2.594, 0.000], [0.000, 0.000, 8.505]],
  "species": ["Li", "Li", "Re", "Pt"],
  "fractional_positions": [[0.000, 0.000, 0.235], [0.000, 0.000, 0.765], [0.500, 0.500, 0.500], [0.500, 0.500, 0.000]]
}



{
  "formula": "La2NpNi9",
  "functional": "PBE",
  "state": "optimized geometry",
  "ef_ev_per_atom": -0.223,
  "sg": "R-3m",
  "dos_ef_per_ev_atom": 1.80,
  "lattice_angstrom": [[2.492, 1.439, 8.383], [-2.492, 1.439, 8.383], [0.000, -2.878, 8.383]],
  "species": ["La", "La", "Np", "Ni", "Ni", "Ni", "Ni", "Ni", "Ni", "Ni", "Ni", "Ni"],
  "fractional_positions": [[0.137, 0.137, 0.137], [0.863, 0.863, 0.863], [0.000, 0.000, 0.000], [0.081, 0.578, 0.578], [0.333, 0.333, 0.333], [0.422, 0.422, 0.919], [0.422, 0.919, 0.422], [0.500, 0.500, 0.500], [0.578, 0.081, 0.578], [0.578, 0.578, 0.081], [0.667, 0.667, 0.667], [0.919, 0.422, 0.422]]
}



{
  "formula": "AcLuBiPb",
  "functional": "PBE",
  "state": "optimized geometry",
  "ef_ev_per_atom": -0.431,
  "sg": "F-43m",
  "dos_ef_per_ev_atom": 1.06,
  "lattice_angstrom": [[0.000, 4.014, 4.014], [4.014, 0.000, 4.014], [4.014, 4.014, 0.000]],
  "species": ["Ac", "Lu", "Bi", "Pb"],
  "fractional_positions": [[0.000, 0.000, 0.000], [0.500, 0.500, 0.500], [0.250, 0.250, 0.250], [0.750, 0.750, 0.750]]
}



{
  "formula": "Ac2TaZnO6",
  "functional": "PBE",
  "state": "optimized geometry",
  "sg": "Pmmn",
  "formation_energy_uncorrected_ev_per_atom": -2.6776,
  "dos_ef_per_ev_atom": 0.39,
  "lattice_angstrom": [[5.689, 0.000, 0.000], [0.000, 8.176, 0.000], [0.000, 0.000, 5.887]],
  "species": ["Ac", "Ac", "Ac", "Ac", "Ta", "Ta", "Zn", "Zn", "O", "O", "O", "O", "O", "O", "O", "O", "O", "O", "O", "O"],
  "fractional_positions": [[0.250, 0.006, 0.249], [0.250, 0.494, 0.249], [0.750, 0.506, 0.751], [0.750, 0.994, 0.751], [0.250, 0.250, 0.749], [0.750, 0.750, 0.251], [0.250, 0.750, 0.750], [0.750, 0.250, 0.250], [0.009, 0.250, 0.001], [0.009, 0.250, 0.498], [0.250, 0.003, 0.751], [0.250, 0.497, 0.751], [0.491, 0.250, 0.001], [0.491, 0.250, 0.498], [0.509, 0.750, 0.502], [0.509, 0.750, 0.999], [0.750, 0.503, 0.249], [0.750, 0.997, 0.249], [0.991, 0.750, 0.502], [0.991, 0.750, 0.999]]
}



{
  "formula": "YCu2Re",
  "functional": "PBE",
  "state": "optimized geometry",
  "ef_ev_per_atom": 0.370,
  "e_above_lowest_polymorph_mev_per_atom": 106.4,
  "sg": "C2/m",
  "dos_ef_per_ev_atom": 0.92,
  "lattice_angstrom": [[4.562, -1.359, 0.000], [4.562, 1.359, 0.000], [-0.775, 0.000, 5.484]],
  "species": ["Y", "Cu", "Cu", "Re"],
  "fractional_positions": [[0.000, 0.000, 0.000], [0.240, 0.240, 0.687], [0.760, 0.760, 0.313], [0.500, 0.500, 0.500]]
}



{
  "formula": "Ca3Ag4Au4",
  "functional": "PBE",
  "state": "optimized geometry",
  "ef_ev_per_atom": -0.444,
  "e_above_lowest_polymorph_mev_per_atom": 0.0,
  "sg": "Immm",
  "dos_ef_per_ev_atom": 0.38,
  "lattice_angstrom": [[-2.177, 3.851, 7.539], [2.177, -3.851, 7.539], [2.177, 3.851, -7.539]],
  "species": ["Ca", "Ca", "Ca", "Ag", "Ag", "Ag", "Ag", "Au", "Au", "Au", "Au"],
  "fractional_positions": [[0.000, 0.000, 0.000], [0.371, 0.871, 0.500], [0.629, 0.129, 0.500], [0.026, 0.328, 0.698], [0.370, 0.672, 0.698], [0.630, 0.328, 0.302], [0.974, 0.672, 0.302], [0.221, 0.221, 0.000], [0.316, 0.500, 0.816], [0.684, 0.500, 0.184], [0.779, 0.779, 0.000]]
}



{
  "formula": "Mg2CdIr",
  "functional": "PBE",
  "state": "optimized geometry",
  "ef_ev_per_atom": -0.084,
  "sg": "P4mm",
  "dos_ef_per_ev_atom": 0.36,
  "lattice_angstrom": [[3.308, 0.000, 0.000], [0.000, 3.308, 0.000], [0.000, 0.000, 6.719]],
  "species": ["Mg", "Mg", "Cd", "Ir"],
  "fractional_positions": [[0.000, 0.000, 0.000], [0.500, 0.500, 0.285], [0.000, 0.000, 0.561], [0.500, 0.500, 0.814]]
}



{
  "formula": "La3TbPr6Y2",
  "functional": "PBE",
  "state": "optimized geometry",
  "ef_ev_per_atom": 0.015,
  "sg": "C2/m",
  "dos_ef_per_ev_atom": 1.61,
  "lattice_angstrom": [[3.197, -5.543, 0.000], [3.197, 5.543, 0.000], [-2.138, 0.000, 11.990]],
  "species": ["La", "La", "La", "Tb", "Pr", "Pr", "Pr", "Pr", "Pr", "Pr", "Y", "Y"],
  "fractional_positions": [[0.000, 0.000, 0.000], [0.333, 0.667, 0.000], [0.667, 0.333, 0.000], [0.500, 0.500, 0.500], [0.086, 0.418, 0.255], [0.249, 0.249, 0.745], [0.418, 0.086, 0.255], [0.582, 0.914, 0.745], [0.751, 0.751, 0.255], [0.914, 0.582, 0.745], [0.167, 0.833, 0.500], [0.833, 0.167, 0.500]]
}



{
  "formula": "Cs3Na2InF9",
  "functional": "PBE",
  "state": "optimized geometry",
  "sg": "P-3m1",
  "formation_energy_uncorrected_ev_per_atom": -2.5602,
  "dos_ef_per_ev_atom": 1.31,
  "lattice_angstrom": [[6.378, 0.000, 0.000], [-3.189, 5.523, 0.000], [0.000, 0.000, 7.978]],
  "species": ["Cs", "Cs", "Cs", "Na", "Na", "In", "F", "F", "F", "F", "F", "F", "F", "F", "F"],
  "fractional_positions": [[0.000, 0.000, 0.000], [0.333, 0.667, 0.678], [0.667, 0.333, 0.322], [0.333, 0.667, 0.184], [0.667, 0.333, 0.816], [0.000, 0.000, 0.500], [0.000, 0.500, 0.000], [0.157, 0.313, 0.347], [0.157, 0.843, 0.347], [0.313, 0.157, 0.653], [0.500, 0.000, 0.000], [0.500, 0.500, 0.000], [0.687, 0.843, 0.347], [0.843, 0.157, 0.653], [0.843, 0.687, 0.653]]
}



{
  "formula": "NpBrN",
  "functional": "PBE",
  "state": "optimized geometry",
  "sg": "P-6m2",
  "formation_energy_uncorrected_ev_per_atom": -1.0257,
  "dos_ef_per_ev_atom": 2.02,
  "lattice_angstrom": [[3.761, 0.000, 0.000], [-1.881, 3.257, 0.000], [0.000, 0.000, 4.905]],
  "species": ["Np", "Br", "N"],
  "fractional_positions": [[0.000, 0.000, 0.000], [0.333, 0.667, 0.500], [0.667, 0.333, 0.000]]
}



{
  "formula": "Ta3HgAu",
  "functional": "PBE",
  "state": "optimized geometry",
  "ef_ev_per_atom": 1.666,
  "e_above_lowest_polymorph_mev_per_atom": 0.0,
  "sg": "Pm-3m",
  "dos_ef_per_ev_atom": 1.06,
  "lattice_angstrom": [[4.949, 0.000, 0.000], [0.000, 4.949, 0.000], [0.000, 0.000, 4.949]],
  "species": ["Ta", "Ta", "Ta", "Hg", "Au"],
  "fractional_positions": [[0.000, 0.000, 0.500], [0.000, 0.500, 0.000], [0.500, 0.000, 0.000], [0.500, 0.500, 0.500], [0.000, 0.000, 0.000]]
}



{
  "formula": "Mg2GaCo",
  "functional": "PBE",
  "state": "optimized geometry",
  "ef_ev_per_atom": 0.394,
  "sg": "R-3m",
  "dos_ef_per_ev_atom": 0.97,
  "lattice_angstrom": [[1.449, 0.837, 9.871], [-1.449, 0.837, 9.871], [0.000, -1.673, 9.871]],
  "species": ["Mg", "Mg", "Ga", "Co"],
  "fractional_positions": [[0.086, 0.086, 0.086], [0.914, 0.914, 0.914], [0.500, 0.500, 0.500], [0.000, 0.000, 0.000]]
}



{
  "formula": "Nd4Y3Er4",
  "functional": "PBE",
  "state": "optimized geometry",
  "ef_ev_per_atom": 0.021,
  "e_above_lowest_polymorph_mev_per_atom": 0.0,
  "sg": "C2/m",
  "dos_ef_per_ev_atom": 1.33,
  "lattice_angstrom": [[19.907, -1.796, 0.000], [19.907, 1.796, 0.000], [-0.644, 0.000, 5.024]],
  "species": ["Nd", "Nd", "Nd", "Nd", "Y", "Y", "Y", "Er", "Er", "Er", "Er"],
  "fractional_positions": [[0.046, 0.046, 0.046], [0.317, 0.317, 0.318], [0.683, 0.683, 0.682], [0.954, 0.954, 0.954], [0.136, 0.136, 0.136], [0.500, 0.500, 0.500], [0.864, 0.864, 0.864], [0.228, 0.228, 0.228], [0.408, 0.408, 0.409], [0.592, 0.592, 0.591], [0.772, 0.772, 0.772]]
}